The following is a DFT calculation (PBE with a Hubbard U) of a relaxed TiBiMo2F crystal.

## Properties
energy	-5.29	eV/atom
D(E_F)	3.8	states/eV/cell

```
TiBiMo2F
1.0
5.279 0.000 0.000
0.000 5.279 0.000
0.000 0.000 3.933
Ti Bi Mo F
1 1 2 1
Cartesian
0.000 0.000 0.000
2.639 2.639 0.000
0.000 2.639 1.967
2.639 0.000 1.967
0.000 0.000 1.967
```